No. 1
Below is Ir2Au after structural relaxation, with properties calculated at the PBE level.

formation energy	0.375	eV per atom
final energy	-6.625	eV/atom
relative energy among the computed polymorphs	3.50	kcal/mol of atoms
magnetic moment	0.0	Bohr magnetons per cell

Lattice parameters (Å, degrees): 5.4794 5.4794 6.6592 74.25 74.25 29.42
Closest atoms and distances in Å follow each position.
Atoms (fractional coordinates):
Ir 0.6645 0.6645 0.6646  8 Ir 2.70-2.97, 4 Au 2.79-2.82
Ir 0.6166 0.6166 0.2858  7 Ir 2.71-2.83, 5 Au 2.82-2.91
Ir 0.9522 0.9522 0.6148  9 Ir 2.74-2.97, 3 Au 2.75-2.85
Ir 0.2675 0.2675 0.9279  8 Ir 2.70-2.83, 4 Au 2.78-3.01
Au 0.9961 0.9961 0.0029  8 Ir 2.75-2.96, 4 Au 2.77-2.78
Au 0.3363 0.3363 0.3374  4 Au 2.77-2.78, 8 Ir 2.79-3.01

***

No. 2
Below is Ba3Tb3TmTe8 after structural relaxation, with properties calculated at the PBE level.

final energy	-4.816	eV/atom
magnetic moment	0.0	Bohr magnetons per cell
uncorrected formation energy	-1.531	eV/atom

Lattice parameters (Å, degrees): 9.0024 8.9984 9.5403 118.11 90.01 119.99
Closest atoms and distances in Å follow each position.
Atoms (fractional coordinates):
Te 0.2382 0.9762 0.7145  2 Tb 3.11, 1 Tm 3.11, 2 Ba 3.46
Te 0.2609 0.5220 0.2829  3 Tb 3.13, 3 Ba 3.45
Te 0.7391 0.4780 0.7171  3 Tb 3.13, 3 Ba 3.45
Te 0.2618 0.0237 0.2856  1 Tm 3.11, 2 Tb 3.11, 2 Ba 3.46
Te 0.7619 0.5239 0.2857  1 Tm 3.11, 2 Tb 3.11, 2 Ba 3.46
Te 0.2381 0.4761 0.7143  1 Tm 3.11, 2 Tb 3.11, 2 Ba 3.46
Te 0.7618 0.0238 0.2855  2 Tb 3.11, 1 Tm 3.11, 2 Ba 3.46
Te 0.7382 0.9763 0.7144  1 Tm 3.11, 2 Tb 3.11, 2 Ba 3.46
Ba 0.0000 0.0000 0.0000  6 Te 3.45-3.46
Ba 0.5000 0.5000 0.0000  6 Te 3.45-3.46
Ba 0.0000 0.5000 0.0000  6 Te 3.45-3.46
Tb 0.5000 0.0000 0.5000  6 Te 3.11-3.13
Tb 0.5000 0.5000 0.5000  6 Te 3.11-3.13
Tb 0.0000 0.5000 0.5000  6 Te 3.11-3.13
Tm 0.0000 0.0000 0.5000  6 Te 3.11

***

No. 3
Below is BaCa3Zn2 after structural relaxation, with properties calculated at the PBE level.

formation energy	-0.126	eV per atom
final energy	-1.872	eV/atom
magnetic moment	0.0	Bohr magnetons per cell

Lattice parameters (Å, degrees): 4.4504 9.3040 11.1086 76.90 78.44 76.16
Closest atoms and distances in Å follow each position.
Atoms (fractional coordinates):
Ca 0.4154 0.2213 0.9479  3 Zn 3.14-3.27
Ca 0.5833 0.2557 0.5776  3 Zn 3.07-3.18
Ca 0.1481 0.9438 0.7599  4 Zn 3.23-3.59
Ca 0.5846 0.7787 0.0521  3 Zn 3.14-3.27
Ca 0.4167 0.7443 0.4224  3 Zn 3.07-3.18
Ca 0.8519 0.0562 0.2401  4 Zn 3.23-3.59
Ba 0.8512 0.5716 0.7260  4 Zn 3.39-3.48
Ba 0.1488 0.4284 0.2740  4 Zn 3.39-3.48
Zn 0.7699 0.4201 0.0402  2 Zn 2.71
Zn 0.2301 0.5799 0.9598  2 Zn 2.71
Zn 0.7667 0.9285 0.5380  2 Zn 2.63
Zn 0.2333 0.0715 0.4620  2 Zn 2.63

***

No. 4
Below is MgRe2Pt after structural relaxation, with properties calculated at the PBE level.

formation energy	0.215	eV per atom
final energy	-7.918	eV/atom
magnetic moment	0.0	Bohr magnetons per cell

Lattice parameters (Å, degrees): 2.6907 2.6907 8.6510 90.00 90.00 90.06
Closest atoms and distances in Å follow each position.
Atoms (fractional coordinates):
Mg 0.5000 0.5000 0.2500  4 Mg 2.69, 8 Re 2.94
Pt 0.5000 0.5000 0.7500  4 Pt 2.69, 8 Re 2.82
Re 0.0000 0.0000 0.5088  4 Re 2.69, 4 Pt 2.82, 4 Mg 2.94
Re 0.0000 0.0000 0.9912  4 Re 2.69, 4 Pt 2.82, 4 Mg 2.94

***

No. 5
Below is SrCa2Y2 after structural relaxation, with properties calculated at the PBE level.

formation energy	0.189	eV per atom
final energy	-3.534	eV/atom
relative energy among the computed polymorphs	0.00	kcal/mol of atoms
magnetic moment	3.8	Bohr magnetons per cell

Lattice parameters (Å, degrees): 10.1662 10.1662 3.8909 90.00 90.00 90.00
Closest atoms and distances in Å follow each position.
Atoms (fractional coordinates):
Y 0.6175 0.1175 0.0000  1 Y 3.38, 6 Ca 3.57-3.59
Y 0.1175 0.3825 0.0000  1 Y 3.38, 6 Ca 3.57-3.59
Y 0.8825 0.6175 0.0000  1 Y 3.38, 6 Ca 3.57-3.59
Y 0.3825 0.8825 0.0000  1 Y 3.38, 6 Ca 3.57-3.59
Ca 0.1739 0.6739 0.5000  6 Y 3.57-3.59, 2 Ca 3.89
Ca 0.8261 0.3261 0.5000  6 Y 3.57-3.59, 2 Ca 3.89
Ca 0.3261 0.1739 0.5000  6 Y 3.57-3.59, 2 Ca 3.89
Ca 0.6739 0.8261 0.5000  6 Y 3.57-3.59, 2 Ca 3.89
Sr 0.0000 0.0000 0.0000  2 Sr 3.89, 4 Y 4.07, 8 Ca 4.23
Sr 0.5000 0.5000 0.0000  2 Sr 3.89, 4 Y 4.07, 8 Ca 4.23

***

No. 6
Below is Ca2Br after structural relaxation, with properties calculated at the PBE level.

final energy	-2.648	eV/atom
relative energy among the computed polymorphs	3.22	kcal/mol of atoms
magnetic moment	1.7	Bohr magnetons per cell
uncorrected formation energy	-0.756	eV/atom

Lattice parameters (Å, degrees): 6.3648 6.3648 6.3648 106.73 106.73 115.11
Closest atoms and distances in Å follow each position.
Atoms (fractional coordinates):
Ca 0.8364 0.3364 0.1728  4 Br 3.32, 1 Ca 3.51
Ca 0.6636 0.8364 0.5000  4 Br 3.32, 1 Ca 3.51
Ca 0.1636 0.6636 0.8272  4 Br 3.32, 1 Ca 3.51
Ca 0.3364 0.1636 0.5000  4 Br 3.32, 1 Ca 3.51
Br 0.2500 0.2500 0.0000  8 Ca 3.32, 2 Br 3.41
Br 0.7500 0.7500 0.0000  8 Ca 3.32, 2 Br 3.41

***

No. 7
Below is SiH3I after structural relaxation, with properties calculated at the PBE level.

final energy	-2.077	eV/atom
relative energy among the computed polymorphs	33.21	kcal/mol of atoms
magnetic moment	0.0	Bohr magnetons per cell

Lattice parameters (Å, degrees): 4.0584 4.0584 4.0584 90.00 90.00 90.00
Closest atoms and distances in Å follow each position.
Atoms (fractional coordinates):
H 0.0000 0.5000 0.0000  2 I 2.03
H 0.5000 0.0000 0.0000  2 I 2.03
H 0.0000 0.0000 0.5000  2 I 2.03
I 0.0000 0.0000 0.0000  6 H 2.03
Si 0.5000 0.5000 0.5000  12 H 2.87

***

No. 8
Below is HoSb2S4 after structural relaxation, with properties calculated at the PBE level.

final energy	-4.895	eV/atom
magnetic moment	0.0	Bohr magnetons per cell
uncorrected formation energy	-0.705	eV/atom

Lattice parameters (Å, degrees): 4.1070 6.7064 12.8236 90.00 90.00 107.83
Closest atoms and distances in Å follow each position.
Atoms (fractional coordinates):
Sb 0.1234 0.2468 0.0611  6 S 2.67-2.96
Sb 0.8766 0.7532 0.9389  6 S 2.67-2.96
Sb 0.1234 0.2468 0.4389  6 S 2.67-2.96
Sb 0.8766 0.7532 0.5611  6 S 2.67-2.96
S 0.5000 0.0000 0.5000  4 Sb 2.70
S 0.9842 0.9685 0.7500  2 Ho 2.72, 2 Sb 2.79
S 0.2220 0.4440 0.8776  3 Sb 2.67-2.96, 2 Ho 2.91
S 0.2220 0.4440 0.6224  3 Sb 2.67-2.96, 2 Ho 2.91
S 0.5000 0.0000 0.0000  4 Sb 2.70
S 0.0158 0.0315 0.2500  2 Ho 2.72, 2 Sb 2.79
S 0.7780 0.5560 0.1224  3 Sb 2.67-2.96, 2 Ho 2.91
S 0.7780 0.5560 0.3776  3 Sb 2.67-2.96, 2 Ho 2.91
Ho 0.3756 0.7512 0.2500  6 S 2.72-2.91
Ho 0.6244 0.2488 0.7500  6 S 2.72-2.91

***

No. 9
Below is FeAg2Os after structural relaxation, with properties calculated at the PBE level.

formation energy	0.578	eV per atom
final energy	-5.771	eV/atom
relative energy among the computed polymorphs	6.08	kcal/mol of atoms
magnetic moment	2.9	Bohr magnetons per cell

Lattice parameters (Å, degrees): 4.7676 4.7676 5.1073 81.39 81.39 32.74
Closest atoms and distances in Å follow each position.
Atoms (fractional coordinates):
Fe 0.5058 0.5058 0.4678  3 Os 2.60-2.73, 2 Fe 2.69, 5 Ag 2.78-2.90
Os 0.2428 0.2428 0.2803  3 Fe 2.60-2.73, 2 Os 2.69, 5 Ag 2.80-2.88
Ag 0.7543 0.7543 0.7572  5 Ag 2.69-2.81, 4 Os 2.80-2.98, 3 Fe 2.87-2.90
Ag 0.9971 0.9971 0.9947  5 Ag 2.69-2.81, 4 Fe 2.78-3.00, 3 Os 2.86-2.88

***

No. 10
Below is Ti2CuIr after structural relaxation, with properties calculated at the PBE level.

formation energy	0.276	eV per atom
final energy	-6.911	eV/atom
magnetic moment	0.0	Bohr magnetons per cell

Lattice parameters (Å, degrees): 5.6212 5.6212 5.6212 56.68 151.26 132.25
Closest atoms and distances in Å follow each position.
Atoms (fractional coordinates):
Ir 0.0000 0.5000 0.5000  2 Ti 2.47, 4 Cu 2.67
Ti 0.0000 0.2508 0.2508  1 Ir 2.47, 1 Cu 2.48, 4 Ti 2.67
Ti 0.0000 0.7492 0.7492  1 Ir 2.47, 1 Cu 2.48, 4 Ti 2.67
Cu 0.0000 0.0000 0.0000  2 Ti 2.48, 4 Ir 2.67

***

No. 11
Below is TiGeN2 after structural relaxation, with properties calculated at the PBE level.

final energy	-7.595	eV/atom
magnetic moment	0.0	Bohr magnetons per cell
uncorrected formation energy	-0.305	eV/atom

Lattice parameters (Å, degrees): 4.6925 4.6925 5.5399 64.94 64.94 90.00
Closest atoms and distances in Å follow each position.
Atoms (fractional coordinates):
N 0.8750 0.8961 0.7500  2 Ge 1.94, 2 Ti 2.06
N 0.3750 0.3539 0.7500  2 Ge 1.94, 2 Ti 2.06
N 0.6461 0.1250 0.2500  2 Ge 1.94, 2 Ti 2.06
N 0.1039 0.6250 0.2500  2 Ge 1.94, 2 Ti 2.06
Ti 0.2500 0.7500 0.5000  4 N 2.06
Ti 0.5000 0.5000 0.0000  4 N 2.06
Ge 0.7500 0.2500 0.5000  4 N 1.94
Ge 0.0000 0.0000 0.0000  4 N 1.94

***

No. 12
Below is BaZnIn2Pt after structural relaxation, with properties calculated at the PBE level.

formation energy	-0.401	eV per atom
final energy	-3.344	eV/atom
magnetic moment	0.0	Bohr magnetons per cell

Lattice parameters (Å, degrees): 5.2442 5.2442 5.0310 90.00 90.00 90.00
Closest atoms and distances in Å follow each position.
Atoms (fractional coordinates):
In 0.5000 0.0000 0.0000  2 Pt 2.62
In 0.0000 0.5000 0.0000  2 Pt 2.62
Pt 0.0000 0.0000 0.0000  2 Zn 2.52, 4 In 2.62
Ba 0.5000 0.5000 0.5000  8 In 3.63, 4 Zn 3.71
Zn 0.0000 0.0000 0.5000  2 Pt 2.52